V6P7O24: PBEsol geometry, SCAN.

Cell and atoms, written as POSCAR:
```
V6P7O24
1.0
-4.095 1.495 2.844
-2.128 -0.800 -6.040
-5.521 -25.148 5.276
O V P
48 12 14
Cartesian
-6.465 -22.818 2.844 O
-7.844 -21.446 5.126 O
-4.053 -9.128 -3.796 O
-4.625 -2.021 1.648 O
-6.980 -9.387 0.862 O
-5.364 -9.678 -1.647 O
-4.763 -15.065 1.218 O
-6.530 -19.248 -0.390 O
-4.547 -8.581 0.915 O
-8.500 -18.494 1.142 O
-8.986 -19.297 4.274 O
-10.316 -23.859 3.835 O
-3.972 -12.181 0.676 O
-2.758 -5.156 -2.194 O
-6.125 -16.945 4.767 O
-6.371 -13.822 -0.087 O
-5.213 -5.204 2.470 O
-7.118 -22.431 0.431 O
-5.717 -16.051 -0.907 O
-6.026 -8.401 2.987 O
-4.363 -0.506 -3.233 O
-5.278 -1.634 -0.765 O
-3.387 -8.023 -1.593 O
-2.908 -1.865 -5.393 O
-8.364 -21.190 2.280 O
-3.106 -4.816 -4.700 O
-5.117 -11.926 -3.282 O
-8.637 -19.636 6.780 O
-1.428 -0.593 -1.755 O
-7.690 -15.325 5.875 O
-5.092 -5.108 -3.191 O
-3.243 -5.958 0.937 O
-4.936 -12.811 2.976 O
-6.651 -19.344 5.270 O
-7.196 -15.872 1.164 O
-3.202 -0.746 0.093 O
-6.808 -11.642 -0.897 O
-8.835 -22.587 7.473 O
-6.626 -12.526 5.362 O
-5.619 -7.507 -2.688 O
-6.379 -14.774 3.726 O
-3.379 -3.262 -0.201 O
-7.380 -23.947 5.313 O
-3.899 -3.006 -3.047 O
-5.372 -10.631 2.167 O
-8.356 -16.429 3.672 O
-8.541 -23.706 1.986 O
-7.772 -12.271 1.404 O
-7.395 -9.627 -1.139 V
-4.687 -11.667 -1.270 V
-9.293 -22.972 5.487 V
-5.729 -2.037 -2.731 V
-9.015 -16.508 1.752 V
-2.729 -7.944 0.328 V
-2.451 -1.480 -3.407 V
-6.014 -22.416 4.810 V
-4.348 -14.825 3.218 V
-9.716 -19.704 2.422 V
-7.056 -12.785 3.350 V
-2.027 -4.748 -0.343 V
-8.161 -19.946 5.341 P
-4.246 -11.738 2.117 P
-7.608 -22.412 1.892 P
-10.008 -24.155 2.363 P
-3.748 -5.558 2.317 P
-6.049 -15.309 0.401 P
-7.253 -15.811 4.473 P
-7.497 -12.715 -0.037 P
-4.135 -2.041 0.188 P
-1.735 -0.298 -0.283 P
-5.694 -9.143 1.678 P
-3.582 -4.506 -3.261 P
-4.490 -8.641 -2.394 P
-7.995 -18.895 -0.237 P
```

DOS(E_F) (states/eV per cell): 22.792
Uncorrected formation energy (meV per atom): -2498
ρ (g/cm³): 3.561
Total magnetic moment (μB/cell): 34.00